1.
A geometry-optimized ZrZnSb3 structure, computed with GGA-PBEsol.

Unit cell a=5.058 b=5.058 c=5.058 alpha=90.00 beta=90.00 gamma=90.00
Atoms (fractional coordinates):
Zr (0.000, 0.000, 0.000)
Zn (0.500, 0.500, 0.500)
Sb (0.000, 0.500, 0.500)
Sb (0.500, 0.000, 0.500)
Sb (0.500, 0.500, 0.000)

Properties
Symmetry ... Pm-3m
Theoretical density ... 6.70 Mg/m³
E_tot ... -4.28 eV/atom
ΔE_f (raw) ... 0.59 eV per atom


2.
A geometry-optimized Cu2Ag structure, computed with GGA-PBEsol.

Unit cell a=5.200 b=5.200 c=6.084 alpha=105.66 beta=105.66 gamma=29.93
Atoms (fractional coordinates):
Cu (0.158, 0.158, 0.042)
Cu (0.197, 0.197, 0.633)
Cu (0.803, 0.803, 0.367)
Cu (0.842, 0.842, 0.958)
Ag (0.479, 0.479, 0.716)
Ag (0.521, 0.521, 0.284)

Properties
Symmetry ... C2/m
Theoretical density ... 9.90 Mg/m³
E_tot ... -3.90 eV/atom
Distance to the lowest polymorph of the same formula ... 22 meV/atom